# Rb2CaFeI6 | Alexandria | PBE | optimized geometry
# E_tot: -123.21 eV per cell
# Formation energy without anion corrections: -87.8 kJ/mol of atoms
data_Rb2CaFeI6
_chemical_formula_sum 'Rb8 Ca4 Fe4 I24'
_symmetry_space_group_name_H-M 'F m -3 m'
_symmetry_Int_Tables_number 225
_symmetry_space_group_name_Hall '-F 4 2 3'
_cell_length_a 11.590
_cell_length_b 11.590
_cell_length_c 11.590
_cell_angle_alpha 90.00
_cell_angle_beta 90.00
_cell_angle_gamma 90.00
loop_
_atom_site_label
_atom_site_type_symbol
_atom_site_fract_x
_atom_site_fract_y
_atom_site_fract_z
Rb1 Rb 0.250 0.250 0.250
Ca1 Ca 0.000 0.000 0.000
Fe1 Fe 0.000 0.000 0.500
I1 I 0.000 0.000 0.268

***

# RuPb2 | Alexandria | PBE | optimized geometry
# E_tot: -63.23 eV per cell
# Calculated formation energy: 295 meV/atom
data_RuPb2
_chemical_formula_sum 'Ru4 Pb8'
_symmetry_space_group_name_H-M 'I 41/a m d'
_symmetry_Int_Tables_number 141
_cell_length_a 3.314
_cell_length_b 3.314
_cell_length_c 26.345
_cell_angle_alpha 90.00
_cell_angle_beta 90.00
_cell_angle_gamma 90.00
loop_
_symmetry_equiv_pos_as_xyz
'x,y,z'
'-x,-y,-z'
'-y+1/4,x+3/4,z+1/4'
'y+1/4,-x+3/4,-z+1/4'
'-x+1/2,-y,z+1/2'
'x+1/2,y,-z+1/2'
'y+1/4,-x+1/4,z+3/4'
'-y+1/4,x+1/4,-z+3/4'
'x,-y,-z'
'-x,y,z'
'-y+1/4,-x+1/4,-z+3/4'
'y+1/4,x+1/4,z+3/4'
'-x+1/2,y,-z+1/2'
'x+1/2,-y,z+1/2'
'y+1/4,x+3/4,-z+1/4'
'-y+1/4,-x+3/4,z+1/4'
'x+1/2,y+1/2,z+1/2'
'-x+1/2,-y+1/2,-z+1/2'
'-y+3/4,x+1/4,z+3/4'
'y+3/4,-x+1/4,-z+3/4'
'-x,-y+1/2,z'
'x,y+1/2,-z'
'y+3/4,-x+3/4,z+1/4'
'-y+3/4,x+3/4,-z+1/4'
'x+1/2,-y+1/2,-z+1/2'
'-x+1/2,y+1/2,z+1/2'
'-y+3/4,-x+3/4,-z+1/4'
'y+3/4,x+3/4,z+1/4'
'-x,y+1/2,-z'
'x,-y+1/2,z'
'y+3/4,x+1/4,-z+3/4'
'-y+3/4,-x+1/4,z+3/4'
loop_
_atom_site_label
_atom_site_type_symbol
_atom_site_fract_x
_atom_site_fract_y
_atom_site_fract_z
Ru1 Ru 0.000 0.250 0.375
Pb1 Pb 0.000 0.250 0.810

***

# GeP2O2 | Alexandria | PBE | optimized geometry
# Offset from the most stable computed form: 0 meV/atom
# E_tot: -27.50 eV per cell
# Formation energy without anion corrections: -41.4 kJ/mol of atoms
data_GeP2O2
_chemical_formula_sum 'Ge1 P2 O2'
_symmetry_space_group_name_H-M 'P 4/m m m'
_symmetry_Int_Tables_number 123
_symmetry_space_group_name_Hall '-P 4 2'
_cell_length_a 3.564
_cell_length_b 3.564
_cell_length_c 4.635
_cell_angle_alpha 90.00
_cell_angle_beta 90.00
_cell_angle_gamma 90.00
loop_
_atom_site_label
_atom_site_type_symbol
_atom_site_fract_x
_atom_site_fract_y
_atom_site_fract_z
Ge1 Ge 0.000 0.000 0.000
P1 P 0.500 0.500 0.000
P2 P 0.500 0.500 0.500
O1 O 0.000 0.500 0.500